First-principles (PBE+U) data for a geometry-optimized Mg3Ni5O12 structure, as listed in Alexandria via LeMat-Bulk.

Summary:
spin magnetization: 31.89 Bohr magnetons per cell
electronic total energy: -390.63 eV for the cell shown

Structure (POSCAR):
```
Mg3Ni5O12
1.0
-5.9157 5.9157 5.9157
5.9157 -5.9157 5.9157
5.9157 5.9157 -5.9157
Mg Ni O
12 20 48
direct
0.1250 0.2500 0.3750
0.1250 0.3750 0.7500
0.2500 0.3750 0.1250
0.2500 0.8750 0.6250
0.3750 0.1250 0.2500
0.3750 0.7500 0.1250
0.6250 0.2500 0.8750
0.6250 0.8750 0.7500
0.7500 0.1250 0.3750
0.7500 0.6250 0.8750
0.8750 0.6250 0.2500
0.8750 0.7500 0.6250
0.0000 0.0000 0.0000
0.0000 0.0000 0.5000
0.0000 0.5000 0.0000
0.0000 0.5000 0.5000
0.1250 0.7500 0.8750
0.1250 0.8750 0.2500
0.2500 0.1250 0.8750
0.2500 0.6250 0.3750
0.3750 0.2500 0.6250
0.3750 0.6250 0.7500
0.5000 0.0000 0.0000
0.5000 0.0000 0.5000
0.5000 0.5000 0.0000
0.5000 0.5000 0.5000
0.6250 0.3750 0.2500
0.6250 0.7500 0.3750
0.7500 0.3750 0.6250
0.7500 0.8750 0.1250
0.8750 0.1250 0.7500
0.8750 0.2500 0.1250
0.0304 0.2011 0.1280
0.0304 0.3294 0.9025
0.0731 0.7011 0.6706
0.0731 0.8720 0.4025
0.0975 0.6280 0.4269
0.0975 0.9696 0.6706
0.1280 0.0304 0.2011
0.1280 0.5975 0.9269
0.1706 0.2011 0.5731
0.1706 0.4696 0.5975
0.2011 0.1280 0.0304
0.2011 0.5731 0.1706
0.2989 0.3294 0.9269
0.2989 0.4696 0.3720
0.3294 0.9025 0.0304
0.3294 0.9269 0.2989
0.3720 0.2989 0.4696
0.3720 0.5731 0.9025
0.4025 0.0731 0.8720
0.4025 0.8294 0.5304
0.4269 0.0975 0.6280
0.4269 0.8294 0.7989
0.4696 0.3720 0.2989
0.4696 0.5975 0.1706
0.5304 0.4025 0.8294
0.5304 0.6280 0.7011
0.5731 0.1706 0.2011
0.5731 0.9025 0.3720
0.5975 0.1706 0.4696
0.5975 0.9269 0.1280
0.6280 0.4269 0.0975
0.6280 0.7011 0.5304
0.6706 0.0731 0.7011
0.6706 0.0975 0.9696
0.7011 0.5304 0.6280
0.7011 0.6706 0.0731
0.7989 0.4269 0.8294
0.7989 0.8720 0.9696
0.8294 0.5304 0.4025
0.8294 0.7989 0.4269
0.8720 0.4025 0.0731
0.8720 0.9696 0.7989
0.9025 0.0304 0.3294
0.9025 0.3720 0.5731
0.9269 0.1280 0.5975
0.9269 0.2989 0.3294
0.9696 0.6706 0.0975
0.9696 0.7989 0.8720
```